Record 1
Entry from Alexandria via LeMat-Bulk: a relaxed structure of Ag2PtRh (PBEsol).

extended XYZ file:
```
4
Lattice="3.8402 0.0000 0.0000 0.0000 3.8402 0.0000 0.0000 0.0000 4.1542" Properties=species:S:1:pos:R:3 pbc="T T T"
Ag 0.0000 1.9201 0.0000
Ag 1.9201 0.0000 0.0000
Pt 1.9201 1.9201 2.0771
Rh 0.0000 0.0000 2.0771
```

## Properties
Energy   -5.206 eV per atom
ΔE_f   0.2254 eV/atom
Offset from the most stable computed form   142 meV per atom
M_tot   0.010 μB per cell
DOS at the Fermi energy   6.628 states/eV/f.u.

Record 2
Entry from Alexandria via LeMat-Bulk: a relaxed structure of AgPtRh2 (PBEsol).

extended XYZ file:
```
4
Lattice="-1.8215 0.8933 -1.8110 -1.8515 0.2345 1.9779 2.3362 7.4150 1.3079" Properties=species:S:1:pos:R:3 pbc="T T T"
Rh 0.0192 0.0611 0.0108
Rh -1.2967 2.2772 0.3857
Pt -0.0493 6.2364 1.0840
Ag 1.1580 3.6756 0.6483
```

## Properties
Energy   -6.567 eV per atom
ΔE_f   0.0714 eV/atom
Offset from the most stable computed form   7 meV per atom
M_tot   0.000 μB per cell
DOS at the Fermi energy   4.399 states/eV/f.u.

Record 3
Entry from Alexandria via LeMat-Bulk: a relaxed structure of AgPt2Rh (PBEsol).

extended XYZ file:
```
4
Lattice="2.7373 0.0000 0.0000 1.3687 2.3706 0.0000 1.3687 0.7902 9.1795" Properties=species:S:1:pos:R:3 pbc="T T T"
Rh 2.7373 1.5804 4.5898
Pt 1.3687 0.7902 2.3814
Pt 4.1060 2.3706 6.7982
Ag 0.0000 0.0000 0.0000
```

## Properties
Energy   -6.331 eV per atom
ΔE_f   0.0132 eV/atom
Offset from the most stable computed form   0 meV per atom
M_tot   0.005 μB per cell
DOS at the Fermi energy   5.431 states/eV/f.u.

Record 4
Entry from Alexandria via LeMat-Bulk: a relaxed structure of AgPtRh2 (PBEsol).

extended XYZ file:
```
4
Lattice="-2.6683 0.4598 -0.2629 -1.6339 -0.1961 2.1662 -0.0975 8.8763 2.4383" Properties=species:S:1:pos:R:3 pbc="T T T"
Rh -0.1072 8.8127 2.4252
Rh -3.2833 6.9638 3.2785
Ag -2.1943 4.6069 2.1784
Pt -1.1124 2.2028 1.0685
```

## Properties
Energy   -6.574 eV per atom
ΔE_f   0.0640 eV/atom
Offset from the most stable computed form   0 meV per atom
M_tot   0.002 μB per cell
DOS at the Fermi energy   4.837 states/eV/f.u.

Record 5
Entry from Alexandria via LeMat-Bulk: a relaxed structure of AgPt2Rh (PBEsol).

extended XYZ file:
```
4
Lattice="2.7424 0.0000 0.0000 0.0000 2.7424 0.0000 0.0000 0.0000 7.9571" Properties=species:S:1:pos:R:3 pbc="T T T"
Rh 1.3712 1.3712 0.0000
Pt 0.0000 0.0000 6.0885
Pt 0.0000 0.0000 1.8687
Ag 1.3712 1.3712 3.9786
```

## Properties
Energy   -6.323 eV per atom
ΔE_f   0.0208 eV/atom
Offset from the most stable computed form   8 meV per atom
M_tot   0.005 μB per cell
DOS at the Fermi energy   5.619 states/eV/f.u.

Record 6
Entry from Alexandria via LeMat-Bulk: a relaxed structure of Ag2PtRh (PBEsol).

extended XYZ file:
```
4
Lattice="-1.8731 1.8008 0.8812 -3.4278 -2.4787 -2.2208 0.8601 -3.0322 3.7531" Properties=species:S:1:pos:R:3 pbc="T T T"
Ag -0.9019 -1.6946 1.5461
Ag -3.5390 -2.0155 0.8675
Pt -0.9366 0.9004 0.4406
Rh -1.7139 -1.2394 -1.1104
```

## Properties
Energy   -5.332 eV per atom
ΔE_f   0.0994 eV/atom
Offset from the most stable computed form   16 meV per atom
M_tot   0.143 μB per cell
DOS at the Fermi energy   5.099 states/eV/f.u.

Record 7
Entry from Alexandria via LeMat-Bulk: a relaxed structure of AgPt2Rh (PBEsol).

extended XYZ file:
```
4
Lattice="3.9084 0.0000 0.0000 0.0000 3.9063 0.0000 -1.9542 -1.9532 3.8931" Properties=species:S:1:pos:R:3 pbc="T T T"
Ag 0.0000 1.9532 0.0000
Pt 1.9542 1.9532 1.9464
Pt 0.0000 0.0000 1.9468
Rh 1.9542 0.0000 0.0000
```

## Properties
Energy   -6.246 eV per atom
ΔE_f   0.0984 eV/atom
Offset from the most stable computed form   85 meV per atom
M_tot   0.004 μB per cell
DOS at the Fermi energy   5.530 states/eV/f.u.

Record 8
Entry from Alexandria via LeMat-Bulk: a relaxed structure of Ag2PtRh (PBEsol).

extended XYZ file:
```
4
Lattice="-2.3224 -0.8644 1.2772 -1.9168 -1.0640 -4.2054 3.8986 -3.3870 1.7541" Properties=species:S:1:pos:R:3 pbc="T T T"
Ag -0.3597 -5.2686 -1.1772
Ag -0.2550 -2.6487 0.7864
Pt -2.0836 -1.0523 -1.4582
Rh -0.1025 -2.6254 -1.9632
```

## Properties
Energy   -5.203 eV per atom
ΔE_f   0.2279 eV/atom
Offset from the most stable computed form   145 meV per atom
M_tot   0.004 μB per cell
DOS at the Fermi energy   5.131 states/eV/f.u.